[1]
## BaSr2SiRh (PBE-GGA)

Data for crystalline BaSr2SiRh at its relaxed geometry.

## Properties
Raw formation energy in meV per atom: -193.9

a = 5.8713 Å, b = 5.8713 Å, c = 4.8139 Å
α = 90.00°, β = 90.00°, γ = 90.00°
Closest atoms and distances in Å follow each position.
Atoms (fractional coordinates):
Ba 0.5000 0.5000 0.5000  8 Sr 3.80, 4 Si 4.15
Si 0.0000 0.0000 0.5000  2 Rh 2.41
Rh 0.0000 0.0000 0.0000  2 Si 2.41
Sr 0.5000 0.0000 0.0000  2 Rh 2.94
Sr 0.0000 0.5000 0.0000  2 Rh 2.94

***

[2]
## Ba2VSiRh (PBE-GGA)

Data for crystalline Ba2VSiRh at its relaxed geometry.

## Properties
Raw formation energy in meV per atom: 425.5

a = 6.0163 Å, b = 6.0163 Å, c = 4.6720 Å
α = 90.00°, β = 90.00°, γ = 90.00°
Closest atoms and distances in Å follow each position.
Atoms (fractional coordinates):
V 0.0000 0.0000 0.5000  2 Rh 2.34
Rh 0.0000 0.0000 0.0000  2 V 2.34
Si 0.5000 0.5000 0.5000  8 Ba 3.81, 4 V 4.25
Ba 0.0000 0.5000 0.0000  2 Rh 3.01
Ba 0.5000 0.0000 0.0000  2 Rh 3.01

***

[3]
## BaZn2SiRh (PBE-GGA)

Data for crystalline BaZn2SiRh at its relaxed geometry.

## Properties
Raw formation energy in meV per atom: -381.3

a = 4.9315 Å, b = 4.9315 Å, c = 4.6286 Å
α = 90.00°, β = 90.00°, γ = 90.00°
Closest atoms and distances in Å follow each position.
Atoms (fractional coordinates):
Zn 0.0000 0.5000 0.0000  2 Rh 2.47
Si 0.0000 0.0000 0.5000  2 Rh 2.31
Ba 0.5000 0.5000 0.5000  8 Zn 3.38, 4 Si 3.49
Rh 0.0000 0.0000 0.0000  2 Si 2.31, 4 Zn 2.47
Zn 0.5000 0.0000 0.0000  2 Rh 2.47

***

[4]
## BaSm2Rh (PBE-GGA)

Data for crystalline BaSm2Rh at its relaxed geometry.

## Properties
Energy above the most stable polymorph in this dataset in meV per atom: 0
DFT formation energy in eV per atom: -0.27

a = 3.6251 Å, b = 3.6251 Å, c = 9.9444 Å
α = 90.00°, β = 90.00°, γ = 90.00°
Closest atoms and distances in Å follow each position.
Atoms (fractional coordinates):
Sm 0.0000 0.0000 0.8379  4 Rh 3.03, 1 Sm 3.22
Rh 0.5000 0.5000 0.0000  8 Sm 3.03
Sm 0.0000 0.0000 0.1621  4 Rh 3.03, 1 Sm 3.22
Ba 0.5000 0.5000 0.5000  4 Ba 3.63

***

| no. | magnetization (μB per atom) | DOS(E_F) (states/eV per cell) |
| --- | --- | --- |
| 1 | 0.000 | 3.57 |
| 2 | 0.447 | 5.01 |
| 3 | 0.000 | 2.76 |
| 4 | 0.000 | 3.72 |